Material: Ba4GaSi3
Method: DFT, PBE
State: relaxed

Cell lengths 4.221, 5.031, 12.454 Å; angles 90.00, 90.00, 90.00 degrees
Sites, in units of the cell vectors:
1 Ba 0.000 0.000 0.000
2 Ba 0.000 0.500 0.488
3 Ba 0.500 0.000 0.713
4 Ba 0.500 0.500 0.217
5 Ga 0.000 0.500 0.800
6 Si 0.000 0.000 0.297
7 Si 0.500 0.000 0.409
8 Si 0.500 0.500 0.917

Results
Space-group type ... Pmm2 (25)
Crystal system ... orthorhombic
Raw formation energy ... -406 meV per atom